[1]
This record from the Alexandria database describes a geometry-optimized Zr2AgBi2 structure. The functional is GGA-PBE.

POSCAR file:
```
Zr2AgBi2
1.0
8.056 0.000 0.000
0.000 8.056 0.000
0.000 0.000 3.845
Bi Zr Ag
4 4 2
direct
0.155 0.345 0.000
0.345 0.845 0.000
0.655 0.155 0.000
0.845 0.655 0.000
0.142 0.642 0.500
0.358 0.142 0.500
0.858 0.358 0.500
0.642 0.858 0.500
0.500 0.500 0.000
0.000 0.000 0.000
```

[2]
This record from the Alexandria database describes a geometry-optimized EuPuTlHg structure. The functional is GGA-PBE.

POSCAR file:
```
EuPuTlHg
1.0
-4.212 1.809 -2.999
0.270 -0.144 -5.469
-3.091 -3.549 -2.803
Eu Tl Hg Pu
1 1 1 1
direct
0.250 0.250 0.250
0.000 0.000 0.000
0.500 0.500 0.500
0.750 0.750 0.750
```

[3]
This record from the Alexandria database describes a geometry-optimized CeDy3Co4 structure. The functional is GGA-PBE.

POSCAR file:
```
CeDy3Co4
1.0
4.164 0.000 0.000
0.000 5.279 -0.604
-2.082 -1.796 7.658
Dy Co Ce
3 4 1
direct
0.797 0.797 0.594
0.000 0.500 0.000
0.203 0.203 0.406
0.379 0.157 0.758
0.621 0.843 0.242
0.621 0.399 0.242
0.379 0.601 0.758
0.500 0.000 0.000
```

[4]
This record from the Alexandria database describes a geometry-optimized Rb3La2CeO6 structure. The functional is GGA-PBE.

POSCAR file:
```
Rb3La2CeO6
1.0
-5.884 0.942 -2.492
0.893 -4.476 4.570
0.414 5.679 3.959
Rb La O Ce
3 2 6 1
direct
0.834 0.166 0.500
0.166 0.834 0.500
0.500 0.500 0.500
0.333 0.667 0.000
0.667 0.333 0.000
0.060 0.387 0.179
0.733 0.733 0.179
0.940 0.613 0.821
0.613 0.940 0.821
0.387 0.060 0.179
0.267 0.267 0.821
0.000 0.000 0.000
```

Results
ΔE_f (raw) (eV per formula unit): -31.086

[5]
This record from the Alexandria database describes a geometry-optimized Ca2AuF structure. The functional is GGA-PBE.

POSCAR file:
```
Ca2AuF
1.0
-1.703 -3.990 1.020
0.864 -3.521 -2.593
5.703 -4.020 3.529
Ca F Au
2 1 1
direct
0.903 0.903 0.291
0.097 0.097 0.709
0.000 0.000 0.000
0.500 0.500 0.500
```

Results
ΔE_f (raw) (eV per formula unit): -6.845

[6]
This record from the Alexandria database describes a geometry-optimized CrCd2As structure. The functional is GGA-PBE.

POSCAR file:
```
CrCd2As
1.0
3.626 0.000 0.000
0.000 4.010 0.004
0.000 2.000 5.748
Cr Cd As
1 2 1
direct
0.000 0.695 0.485
0.500 0.296 0.283
0.000 0.954 0.967
0.500 0.555 0.765
```

So what do the calculations give for energy? Going down the list: -56.188; -28.188; -48.838; -79.527; -15.997; -15.174 eV for the cell shown.